No. 1
Ac2HS | GGA-PBE | relaxed

a = 7.434 Å, b = 7.434 Å, c = 7.434 Å
α = 31.92°, β = 31.92°, γ = 31.92°
Positions (direct):
Ac 0.245 0.245 0.245
Ac 0.755 0.755 0.755
H 0.500 0.500 0.500
S 0.000 0.000 0.000

Output
Its symmetry is R-3m.

---

No. 2
ThV2Re | GGA-PBE | relaxed

a = 4.585 Å, b = 4.585 Å, c = 4.585 Å
α = 60.00°, β = 60.00°, γ = 60.00°
Positions (direct):
Th 0.000 0.000 0.000
V 0.250 0.250 0.250
V 0.750 0.750 0.750
Re 0.500 0.500 0.500

Output
Its symmetry is Fm-3m. For the energy of formation, the calculation gives 0.1954 eV per atom.

---

No. 3
K2BaTc | GGA-PBE | relaxed

a = 7.436 Å, b = 7.436 Å, c = 3.827 Å
α = 90.00°, β = 90.00°, γ = 125.82°
Positions (direct):
K 0.000 0.500 0.000
K 0.500 0.000 0.000
Ba 0.000 0.000 0.500
Tc 0.500 0.500 0.500

Output
Its symmetry is Cmmm. For the energy of formation, the calculation gives 1.1895 eV per atom.

---

Number 1: distance to the lowest polymorph of the same formula 0.000 eV per atom, density of states at the Fermi level 2.4 states/eV per cell, density 7.93 g/cm3. Number 2: distance to the lowest polymorph of the same formula 0.053 eV per atom, density of states at the Fermi level 3.2 states/eV per cell, density 12.67 g/cm3. Number 3: distance to the lowest polymorph of the same formula 0.316 eV per atom, density of states at the Fermi level 4.2 states/eV per cell, density 3.03 g/cm3.